Here is VSb2TeF after structural relaxation from Alexandria. Energies are from PBE with a Hubbard U.

Unit cell a=4.644 b=4.644 c=5.782 alpha=90.00 beta=90.00 gamma=90.00
Sites, in units of the cell vectors:
V 0.000 0.000 0.000
Sb 0.000 0.500 0.500
Sb 0.500 0.000 0.500
Te 0.500 0.500 0.000
F 0.500 0.500 0.500

Its calculated total energy is -3.986 eV/atom. The calculation puts the density of states at the Fermi level at 0.357 states/eV per atom. The calculation puts the theoretical density at 5.9 g cm⁻³.